Version w
## RbBa2Sr (GGA-PBE)

Data for an optimized crystal structure of RbBa2Sr.

a b c (Å): 10.1887 10.1887 10.1887
angles (deg): 90.00 90.00 90.00
Closest atoms and distances in Å follow each position.
Space group Fm-3m (No. 225)
Inequivalent atoms, fractional coordinates:
Rb  0.0000  0.0000  0.0000 (multiplicity 4)  8 Ba 4.41
Ba  0.2500  0.2500  0.2500 (multiplicity 8)  4 Rb 4.41, 4 Sr 4.41
Sr  0.0000  0.0000  0.5000 (multiplicity 4)  8 Ba 4.41

Output
- Size of the total moment: 0.0 μB per formula unit
- D(E_F): 8.5 states/eV/f.u.


Version x
## RbBa2Sr (GGA-PBE)

Data for an optimized crystal structure of RbBa2Sr.

a b c (Å): 4.4744 4.4744 45.5954
angles (deg): 90.00 90.00 120.00
Closest atoms and distances in Å follow each position.
Space group R-3m (No. 166, hexagonal axes)
Inequivalent atoms, fractional coordinates:
Rb  0.0000  0.0000  0.0000 (multiplicity 3)  6 Rb 4.47, 6 Ba 4.82
Ba  0.0000  0.0000  0.2441 (multiplicity 6)  3 Sr 4.37, 6 Ba 4.47, 3 Rb 4.82
Sr  0.0000  0.0000  0.5000 (multiplicity 3)  6 Ba 4.37, 6 Sr 4.47

Output
- Size of the total moment: 0.0 μB per formula unit
- D(E_F): 5.1 states/eV/f.u.


Consider the structures shown above. The least stable of them is version w.